# SrNdMn2O6, PBEsol geometry, DFT SCAN
# V = 111 Å³ per cell
# density of states at the Fermi level = 1.101 states/eV per cell
# space-group type = I-42m (121)
# size of the total moment = 7.00 μB/f.u.
# formation energy (no corrections) = -28.87 eV/f.u.
data_SrNdMn2O6
_cell_length_a 5.417
_cell_length_b 5.417
_cell_length_c 5.417
_cell_angle_alpha 120.94
_cell_angle_beta 120.94
_cell_angle_gamma 88.38
_space_group_name_H-M_alt 'P 1'
_space_group_IT_number 1
loop_
_space_group_symop_operation_xyz
'x,y,z'
loop_
_atom_site_label
_atom_site_type_symbol
_atom_site_fract_x
_atom_site_fract_y
_atom_site_fract_z
_atom_site_occupancy
Sr1 Sr 0.000 0.000 0.000 1
Nd1 Nd 0.500 0.500 0.000 1
Mn1 Mn 0.250 0.750 0.500 1
Mn2 Mn 0.750 0.250 0.500 1
O1 O 0.000 0.500 0.500 1
O2 O 0.054 0.054 0.588 1
O3 O 0.466 0.466 0.412 1
O4 O 0.500 0.000 0.500 1
O5 O 0.534 0.946 0.000 1
O6 O 0.946 0.534 0.000 1

=====

# SrTaTl, PBEsol geometry, DFT SCAN
# calculated formation energy = 1154.3 meV/atom
# V = 87 Å³ per cell
# density of states at the Fermi level = 4.341 states/eV per cell
# space-group type = F-43m (216)
# size of the total moment = 2.06 μB/f.u.
data_SrTaTl
_cell_length_a 4.972
_cell_length_b 4.972
_cell_length_c 4.972
_cell_angle_alpha 60.00
_cell_angle_beta 60.00
_cell_angle_gamma 60.00
_space_group_name_H-M_alt 'P 1'
_space_group_IT_number 1
loop_
_space_group_symop_operation_xyz
'x,y,z'
loop_
_atom_site_label
_atom_site_type_symbol
_atom_site_fract_x
_atom_site_fract_y
_atom_site_fract_z
_atom_site_occupancy
Sr1 Sr 0.000 0.000 0.000 1
Ta1 Ta 0.750 0.750 0.750 1
Tl1 Tl 0.500 0.500 0.500 1

=====

# CaYIn2, PBEsol geometry, DFT SCAN
# calculated formation energy = -429.9 meV/atom
# V = 107 Å³ per cell
# density of states at the Fermi level = 4.570 states/eV per cell
# space-group type = I-4m2 (119)
# size of the total moment = 0.19 μB/f.u.
data_CaYIn2
_cell_length_a 6.120
_cell_length_b 6.120
_cell_length_c 6.120
_cell_angle_alpha 136.62
_cell_angle_beta 136.62
_cell_angle_gamma 63.02
_space_group_name_H-M_alt 'P 1'
_space_group_IT_number 1
loop_
_space_group_symop_operation_xyz
'x,y,z'
loop_
_atom_site_label
_atom_site_type_symbol
_atom_site_fract_x
_atom_site_fract_y
_atom_site_fract_z
_atom_site_occupancy
Ca1 Ca 0.000 0.000 0.000 1
Y1 Y 0.250 0.750 0.500 1
In1 In 0.500 0.500 0.000 1
In2 In 0.750 0.250 0.500 1

=====

# La3ScBeS7, PBEsol geometry, DFT SCAN
# V = 528 Å³ per cell
# space-group type = P6_3 (173)
# size of the total moment = 0.00 μB/f.u.
# formation energy (no corrections) = -26.25 eV/f.u.
data_La3ScBeS7
_cell_length_a 10.090
_cell_length_b 10.090
_cell_length_c 5.990
_cell_angle_alpha 90.00
_cell_angle_beta 90.00
_cell_angle_gamma 120.00
_space_group_name_H-M_alt 'P 1'
_space_group_IT_number 1
loop_
_space_group_symop_operation_xyz
'x,y,z'
loop_
_atom_site_label
_atom_site_type_symbol
_atom_site_fract_x
_atom_site_fract_y
_atom_site_fract_z
_atom_site_occupancy
La1 La 0.142 0.749 0.000 1
La2 La 0.251 0.393 0.000 1
La3 La 0.393 0.142 0.500 1
La4 La 0.607 0.858 0.000 1
La5 La 0.749 0.607 0.500 1
La6 La 0.858 0.251 0.500 1
Sc1 Sc 0.000 0.000 0.218 1
Sc2 Sc 0.000 0.000 0.718 1
Be1 Be 0.333 0.667 0.590 1
Be2 Be 0.667 0.333 0.090 1
S1 S 0.084 0.851 0.468 1
S2 S 0.111 0.519 0.718 1
S3 S 0.149 0.233 0.468 1
S4 S 0.233 0.084 0.968 1
S5 S 0.333 0.667 0.239 1
S6 S 0.409 0.889 0.718 1
S7 S 0.481 0.591 0.718 1
S8 S 0.519 0.409 0.218 1
S9 S 0.591 0.111 0.218 1
S10 S 0.667 0.333 0.739 1
S11 S 0.767 0.916 0.468 1
S12 S 0.851 0.767 0.968 1
S13 S 0.889 0.481 0.218 1
S14 S 0.916 0.149 0.968 1

=====

# BeTl2W, PBEsol geometry, DFT SCAN
# calculated formation energy = 934.4 meV/atom
# V = 71 Å³ per cell
# density of states at the Fermi level = 1.400 states/eV per cell
# space-group type = R-3m (166)
# size of the total moment = 0.00 μB/f.u.
data_BeTl2W
_cell_length_a 8.899
_cell_length_b 8.899
_cell_length_c 8.899
_cell_angle_alpha 19.89
_cell_angle_beta 19.89
_cell_angle_gamma 19.89
_space_group_name_H-M_alt 'P 1'
_space_group_IT_number 1
loop_
_space_group_symop_operation_xyz
'x,y,z'
loop_
_atom_site_label
_atom_site_type_symbol
_atom_site_fract_x
_atom_site_fract_y
_atom_site_fract_z
_atom_site_occupancy
Be1 Be 0.000 0.000 0.000 1
Tl1 Tl 0.257 0.257 0.257 1
Tl2 Tl 0.743 0.743 0.743 1
W1 W 0.500 0.500 0.500 1

=====

# LiSe3S, PBEsol geometry, DFT SCAN
# V = 113 Å³ per cell
# density of states at the Fermi level = 2.814 states/eV per cell
# space-group type = Pm-3m (221)
# size of the total moment = 0.00 μB/f.u.
# formation energy (no corrections) = 0.71 eV/f.u.
data_LiSe3S
_cell_length_a 4.840
_cell_length_b 4.840
_cell_length_c 4.840
_cell_angle_alpha 90.00
_cell_angle_beta 90.00
_cell_angle_gamma 90.00
_space_group_name_H-M_alt 'P 1'
_space_group_IT_number 1
loop_
_space_group_symop_operation_xyz
'x,y,z'
loop_
_atom_site_label
_atom_site_type_symbol
_atom_site_fract_x
_atom_site_fract_y
_atom_site_fract_z
_atom_site_occupancy
Li1 Li 0.000 0.000 0.000 1
Se1 Se 0.000 0.500 0.500 1
Se2 Se 0.500 0.000 0.500 1
Se3 Se 0.500 0.500 0.000 1
S1 S 0.500 0.500 0.500 1

=====

# CaTaRu2, PBEsol geometry, DFT SCAN
# calculated formation energy = 346.9 meV/atom
# V = 70 Å³ per cell
# density of states at the Fermi level = 2.924 states/eV per cell
# space-group type = P4mm (99)
# size of the total moment = 0.00 μB/f.u.
data_CaTaRu2
_cell_length_a 2.811
_cell_length_b 2.811
_cell_length_c 8.830
_cell_angle_alpha 90.00
_cell_angle_beta 90.00
_cell_angle_gamma 90.00
_space_group_name_H-M_alt 'P 1'
_space_group_IT_number 1
loop_
_space_group_symop_operation_xyz
'x,y,z'
loop_
_atom_site_label
_atom_site_type_symbol
_atom_site_fract_x
_atom_site_fract_y
_atom_site_fract_z
_atom_site_occupancy
Ca1 Ca 0.000 0.000 0.000 1
Ta1 Ta 0.500 0.500 0.674 1
Ru1 Ru 0.000 0.000 0.444 1
Ru2 Ru 0.500 0.500 0.261 1

=====

# Hf2MgSb, PBEsol geometry, DFT SCAN
# V = 181 Å³ per cell
# density of states at the Fermi level = 4.123 states/eV per cell
# space-group type = I-42d (122)
# size of the total moment = 0.00 μB/f.u.
# formation energy (no corrections) = 0.55 eV/f.u.
data_Hf2MgSb
_cell_length_a 6.273
_cell_length_b 6.273
_cell_length_c 6.273
_cell_angle_alpha 102.84
_cell_angle_beta 102.84
_cell_angle_gamma 123.76
_space_group_name_H-M_alt 'P 1'
_space_group_IT_number 1
loop_
_space_group_symop_operation_xyz
'x,y,z'
loop_
_atom_site_label
_atom_site_type_symbol
_atom_site_fract_x
_atom_site_fract_y
_atom_site_fract_z
_atom_site_occupancy
Hf1 Hf 0.116 0.625 0.991 1
Hf2 Hf 0.375 0.366 0.491 1
Hf3 Hf 0.634 0.125 0.009 1
Hf4 Hf 0.875 0.884 0.509 1
Mg1 Mg 0.250 0.750 0.500 1
Mg2 Mg 0.500 0.500 0.000 1
Sb1 Sb 0.000 0.000 0.000 1
Sb2 Sb 0.750 0.250 0.500 1

=====

Number 1: E_tot -16.86 eV/atom. Number 2: E_tot -52.58 eV/atom. Number 3: E_tot -26.50 eV/atom. Number 4: E_tot -20.13 eV/atom. Number 5: E_tot -53.76 eV/atom. Number 6: E_tot -14.31 eV/atom. Number 7: E_tot -36.13 eV/atom. Number 8: E_tot -41.76 eV/atom.